A geometry-optimized LaBePb structure. Source: Alexandria, functional GGA-PBE.

Lattice parameters (Å, degrees): 4.369 4.369 4.548 90.00 90.00 120.00
Fractional positions:
1 La 0.000 0.000 0.000
2 Be 0.333 0.667 0.500
3 Pb 0.667 0.333 0.500

**Size of the total moment**: 0.000 μB per atom
**Distance to the lowest polymorph of the same formula**: 0.0 meV per atom
**ΔH_f (0 K)**: -0.8 eV per formula unit